[1]
A plane-wave DFT calculation with PBE was carried out for a relaxed structure of Pu2Zn3Ru.

Summary:
Its final energy is -7.139 eV per atom. For the formation energy, the calculation gives -179 meV/atom.

a b c (Å): 5.233 5.233 5.503
angles (deg): 90.19 118.45 119.71
Atoms (fractional coordinates):
Pu 0.735 0.367 0.102
Pu 0.265 0.633 0.898
Zn 0.500 0.500 0.500
Zn 0.000 0.000 0.500
Zn 0.500 0.000 0.500
Ru 0.000 0.000 0.000

=====

[2]
A plane-wave DFT calculation with PBE was carried out for a relaxed structure of PuZnRu.

Summary:
Its final energy is -8.482 eV per atom. For the formation energy, the calculation gives -188 meV/atom. Its distance to the lowest polymorph of the same formula is 0.0052 eV/atom.

a b c (Å): 4.285 5.334 5.267
angles (deg): 90.00 90.00 113.68
Atoms (fractional coordinates):
Pu 0.199 0.399 0.750
Pu 0.801 0.601 0.250
Zn 0.500 0.000 0.500
Zn 0.500 0.000 0.000
Ru 0.100 0.199 0.250
Ru 0.900 0.801 0.750

=====

[3]
A plane-wave DFT calculation with PBE was carried out for a relaxed structure of Pu2Zn2Ru.

Summary:
Its final energy is -8.200 eV per atom. For the formation energy, the calculation gives -103 meV/atom.

a b c (Å): 5.618 5.618 5.618
angles (deg): 129.92 130.47 73.10
Atoms (fractional coordinates):
Pu 0.684 0.184 0.500
Pu 0.316 0.816 0.500
Zn 0.749 0.500 0.249
Zn 0.251 0.500 0.751
Ru 0.000 0.000 0.000

=====

[4]
A plane-wave DFT calculation with PBE was carried out for a relaxed structure of Pu2ZnRu.

Summary:
Its final energy is -9.926 eV per atom. For the formation energy, the calculation gives -122 meV/atom.

a b c (Å): 3.238 3.238 8.013
angles (deg): 90.00 90.00 90.00
Atoms (fractional coordinates):
Ru 0.500 0.500 0.000
Zn 0.500 0.500 0.500
Pu 0.000 0.000 0.776
Pu 0.000 0.000 0.224

=====

[5]
A plane-wave DFT calculation with PBE was carried out for a relaxed structure of PuZnRu.

Summary:
Its final energy is -8.487 eV per atom. For the formation energy, the calculation gives -193 meV/atom. Its distance to the lowest polymorph of the same formula is 0.0000 eV/atom.

a b c (Å): 4.419 5.982 4.437
angles (deg): 89.99 90.00 68.34
Atoms (fractional coordinates):
Pu 0.098 0.810 0.752
Pu 0.907 0.193 0.252
Zn 0.393 0.221 0.752
Zn 0.612 0.782 0.252
Ru 0.762 0.482 0.752
Ru 0.242 0.521 0.252

=====

[6]
A plane-wave DFT calculation with PBE was carried out for a relaxed structure of Pu8ZnRu5.

Summary:
Its final energy is -11.588 eV per atom. For the formation energy, the calculation gives 5 meV/atom.

a b c (Å): 7.291 7.291 7.291
angles (deg): 109.20 110.01 109.20
Atoms (fractional coordinates):
Pu 0.120 0.764 0.025
Pu 0.975 0.094 0.739
Pu 0.756 0.245 0.366
Pu 0.634 0.390 0.879
Pu 0.489 0.610 0.244
Pu 0.644 0.906 0.880
Pu 0.261 0.236 0.356
Pu 0.121 0.755 0.511
Zn 0.250 0.500 0.750
Ru 0.035 0.405 0.136
Ru 0.864 0.899 0.269
Ru 0.731 0.595 0.631
Ru 0.500 0.000 0.500
Ru 0.369 0.101 0.965